Record 1
A geometry-optimized NbVP2O structure, computed with PBE+U.

## Properties
- Density: 3.93 Mg/m³
- Size of the total moment: 2.5 μB per formula unit
- SG: P4/mmm
- Excess energy over the best structure of this formula in the dataset: 0.000 eV/atom
- Electronic total energy: -6.856 eV/atom

a = 4.925 Å, b = 4.925 Å, c = 3.869 Å
α = 90.00°, β = 90.00°, γ = 90.00°
Fractional positions:
Nb1 0.000 0.000 0.000
V1 0.500 0.500 0.500
P1 0.000 0.500 0.000
P2 0.500 0.000 0.000
O1 0.000 0.000 0.500

=====

Record 2
A geometry-optimized NbVPO2 structure, computed with PBE+U.

## Properties
- Density: 4.79 Mg/m³
- Size of the total moment: 2.7 μB per formula unit
- SG: P4/mmm
- Excess energy over the best structure of this formula in the dataset: 0.435 eV/atom
- Electronic total energy: -7.291 eV/atom

a = 3.694 Å, b = 3.694 Å, c = 5.255 Å
α = 90.00°, β = 90.00°, γ = 90.00°
Fractional positions:
Nb1 0.000 0.000 0.000
V1 0.500 0.500 0.500
P1 0.500 0.500 0.000
O1 0.000 0.500 0.500
O2 0.500 0.000 0.500

=====

Record 3
A geometry-optimized NbVPO2 structure, computed with PBE+U.

## Properties
- Density: 4.26 Mg/m³
- Size of the total moment: 2.9 μB per formula unit
- SG: P4/mmm
- Excess energy over the best structure of this formula in the dataset: 0.000 eV/atom
- Electronic total energy: -7.725 eV/atom

a = 3.920 Å, b = 3.920 Å, c = 5.247 Å
α = 90.00°, β = 90.00°, γ = 90.00°
Fractional positions:
Nb1 0.000 0.000 0.000
V1 0.500 0.500 0.500
P1 0.000 0.000 0.500
O1 0.000 0.500 0.000
O2 0.500 0.000 0.000

=====

Record 4
A geometry-optimized NbV3P6O24 structure, computed with PBE+U.

## Properties
- Density: 2.89 Mg/m³
- Size of the total moment: 2.0 μB per formula unit
- SG: R3
- Electronic total energy: -7.576 eV/atom

a = 8.820 Å, b = 8.820 Å, c = 8.820 Å
α = 58.47°, β = 58.47°, γ = 58.47°
Fractional positions:
Nb1 0.000 0.000 0.000
V1 0.282 0.282 0.282
V2 0.499 0.499 0.499
V3 0.782 0.782 0.782
P1 0.107 0.664 0.400
P2 0.175 0.601 0.889
P3 0.400 0.107 0.664
P4 0.601 0.889 0.175
P5 0.664 0.400 0.107
P6 0.889 0.175 0.601
O1 0.006 0.632 0.855
O2 0.064 0.201 0.426
O3 0.088 0.843 0.218
O4 0.131 0.496 0.370
O5 0.149 0.779 0.907
O6 0.201 0.426 0.064
O7 0.218 0.088 0.843
O8 0.280 0.636 0.428
O9 0.359 0.569 0.715
O10 0.370 0.131 0.496
O11 0.426 0.064 0.201
O12 0.428 0.280 0.636
O13 0.496 0.370 0.131
O14 0.565 0.924 0.703
O15 0.569 0.715 0.359
O16 0.632 0.855 0.006
O17 0.636 0.428 0.280
O18 0.703 0.565 0.924
O19 0.715 0.359 0.569
O20 0.779 0.907 0.149
O21 0.843 0.218 0.088
O22 0.855 0.006 0.632
O23 0.907 0.149 0.779
O24 0.924 0.703 0.565

=====

Record 5
A geometry-optimized Nb3VP6O24 structure, computed with PBE+U.

## Properties
- Density: 2.99 Mg/m³
- Size of the total moment: 2.0 μB per formula unit
- SG: R3
- Electronic total energy: -7.902 eV/atom

a = 9.048 Å, b = 9.048 Å, c = 9.048 Å
α = 58.01°, β = 58.01°, γ = 58.01°
Fractional positions:
Nb1 0.000 0.000 0.000
Nb2 0.216 0.216 0.216
Nb3 0.717 0.717 0.717
V1 0.501 0.501 0.501
P1 0.113 0.821 0.391
P2 0.327 0.608 0.884
P3 0.391 0.113 0.821
P4 0.608 0.884 0.327
P5 0.821 0.391 0.113
P6 0.884 0.327 0.608
O1 0.061 0.301 0.432
O2 0.073 0.860 0.225
O3 0.128 0.999 0.363
O4 0.149 0.775 0.930
O5 0.225 0.073 0.860
O6 0.283 0.652 0.412
O7 0.301 0.432 0.061
O8 0.345 0.594 0.717
O9 0.363 0.128 0.999
O10 0.412 0.283 0.652
O11 0.432 0.061 0.301
O12 0.495 0.635 0.860
O13 0.567 0.936 0.795
O14 0.594 0.717 0.345
O15 0.635 0.860 0.495
O16 0.652 0.412 0.283
O17 0.717 0.345 0.594
O18 0.775 0.930 0.149
O19 0.795 0.567 0.936
O20 0.860 0.225 0.073
O21 0.860 0.495 0.635
O22 0.930 0.149 0.775
O23 0.936 0.795 0.567
O24 0.999 0.363 0.128

=====

Record 6
A geometry-optimized NbVP2O structure, computed with PBE+U.

## Properties
- Density: 4.71 Mg/m³
- Size of the total moment: 1.0 μB per formula unit
- SG: P4/mmm
- Excess energy over the best structure of this formula in the dataset: 0.176 eV/atom
- Electronic total energy: -6.680 eV/atom

a = 4.713 Å, b = 4.713 Å, c = 3.520 Å
α = 90.00°, β = 90.00°, γ = 90.00°
Fractional positions:
Nb1 0.000 0.000 0.000
V1 0.500 0.500 0.500
P1 0.000 0.500 0.500
P2 0.500 0.000 0.500
O1 0.500 0.500 0.000